A relaxed KCdHg2 crystal. Source: Alexandria via LeMat-Bulk, functional PBE.

Unit cell a=7.8706 b=7.8706 c=7.8706 alpha=90.00 beta=90.00 gamma=90.00
Space group F-43m (No. 216)
Asymmetric unit:
K (0.0000, 0.0000, 0.0000) x4
Cd (0.2500, 0.2500, 0.2500) x4
Hg (0.0000, 0.0000, 0.5000) x4
Hg (0.2500, 0.2500, 0.7500) x4

=====

A relaxed PuCd2Bi crystal. Source: Alexandria via LeMat-Bulk, functional PBE.

Unit cell a=4.5248 b=4.5248 c=5.1539 alpha=90.00 beta=90.00 gamma=90.00
Space group P4/mmm (No. 123)
Asymmetric unit:
Pu (0.0000, 0.0000, 0.0000) x1
Cd (0.0000, 0.5000, 0.5000) x2
Bi (0.5000, 0.5000, 0.0000) x1

=====

Calculated M_tot, 0.0, 5.5 μB/cell (same order as the records).
Calculated D(E_F), 8.9, 11.5 states/eV per cell (same order as the records).
Calculated formation energy, -0.116, -0.203 eV per atom (same order as the records).